[1]
Sr3SeF3 PBE relaxed; calculated total energy = -5.081 eV/atom; SG = R-3 (148); formation energy from raw total energies = -295.3 kJ per mole of atoms
1.0
7.3497 0.0000 0.0000
3.6748 6.3650 0.0000
3.6748 2.1217 7.0822
Sr Se F
6 2 6
direct
0.2397 0.5853 0.2628 Sr
0.9122 0.2397 0.2628 Sr
0.5853 0.9122 0.2628 Sr
0.4147 0.0878 0.7372 Sr
0.0878 0.7603 0.7372 Sr
0.7603 0.4147 0.7372 Sr
0.3334 0.3334 0.9998 Se
0.6666 0.6666 0.0002 Se
0.4618 0.7935 0.6181 F
0.7935 0.1266 0.6181 F
0.1266 0.4618 0.6181 F
0.8734 0.5382 0.3819 F
0.2065 0.8734 0.3819 F
0.5382 0.2065 0.3819 F

***

[2]
SrSeF6 PBE relaxed; calculated total energy = -4.585 eV/atom; SG = Fm-3m (225); relative energy among the computed polymorphs = 0.0 meV per atom; formation energy from raw total energies = -244.7 kJ per mole of atoms
1.0
-5.8755 0.2051 1.9824
-3.6976 -4.9268 -0.7405
-1.7299 -3.3490 4.9281
Sr Se F
1 1 6
direct
0.5000 0.5000 0.5000 Sr
0.0000 0.0000 0.0000 Se
0.7769 0.7769 0.2231 F
0.7769 0.2231 0.2231 F
0.2231 0.7769 0.7769 F
0.2231 0.2231 0.7769 F
0.2231 0.7769 0.2231 F
0.7769 0.2231 0.7769 F

***

[3]
SrTaSe2F PBE relaxed; calculated total energy = -5.989 eV/atom; SG = P4/mmm (123); formation energy from raw total energies = -146.1 kJ per mole of atoms
1.0
-4.6911 -2.1358 0.2851
0.9788 -2.7206 -4.2766
1.5639 -3.1220 2.3441
Sr F Se Ta
1 1 2 1
direct
0.5000 0.5000 0.5000 Sr
0.0000 0.0000 0.5000 F
0.0000 0.5000 0.0000 Se
0.5000 0.0000 0.0000 Se
0.0000 0.0000 0.0000 Ta

***

[4]
SrTmSe2F PBE relaxed; calculated total energy = -5.468 eV/atom; SG = P4/nmm (129); formation energy from raw total energies = -238.3 kJ per mole of atoms
1.0
4.0829 0.0000 0.0000
0.0000 4.0829 0.0000
0.0000 0.0000 14.5128
Sr Tm Se F
2 2 4 2
direct
0.5000 0.0000 0.6000 Sr
0.0000 0.5000 0.4000 Sr
0.5000 0.0000 0.1194 Tm
0.0000 0.5000 0.8806 Tm
0.0000 0.5000 0.7025 Se
0.0000 0.5000 0.0892 Se
0.5000 0.0000 0.9108 Se
0.5000 0.0000 0.2975 Se
0.0000 0.0000 0.5000 F
0.5000 0.5000 0.5000 F

***

[5]
SrUSe2F PBE relaxed; calculated total energy = -6.495 eV/atom; SG = P4/nmm (129); formation energy from raw total energies = -205.8 kJ per mole of atoms
1.0
4.1170 0.0000 0.0000
0.0000 4.1170 0.0000
0.0000 0.0000 14.2801
Sr U Se F
2 2 4 2
direct
0.5000 0.0000 0.6007 Sr
0.0000 0.5000 0.3993 Sr
0.5000 0.0000 0.1082 U
0.0000 0.5000 0.8918 U
0.0000 0.5000 0.7029 Se
0.0000 0.5000 0.0992 Se
0.5000 0.0000 0.9008 Se
0.5000 0.0000 0.2971 Se
0.0000 0.0000 0.5000 F
0.5000 0.5000 0.5000 F

***

[6]
TaSeF2 PBE relaxed; calculated total energy = -5.455 eV/atom; SG = Fm-3m (225); relative energy among the computed polymorphs = 680.8 meV per atom; formation energy from raw total energies = -66.1 kJ per mole of atoms
1.0
0.0000 2.9777 2.9777
2.9777 0.0000 2.9777
2.9777 2.9777 0.0000
F Se Ta
2 1 1
direct
0.2500 0.2500 0.2500 F
0.7500 0.7500 0.7500 F
0.0000 0.0000 0.0000 Se
0.5000 0.5000 0.5000 Ta

***

[7]
TaSe3F PBE relaxed; calculated total energy = -4.151 eV/atom; SG = Pm-3m (221); relative energy among the computed polymorphs = 1682.1 meV per atom; formation energy from raw total energies = 66.0 kJ per mole of atoms
1.0
-2.0717 -3.8142 -1.3128
3.8689 -2.2964 0.5666
-1.1414 -0.8612 4.3033
F Se Ta
1 3 1
direct
0.0000 0.0000 0.0000 F
0.0000 0.5000 0.0000 Se
0.0000 0.0000 0.5000 Se
0.5000 0.0000 0.0000 Se
0.5000 0.5000 0.5000 Ta

***

[8]
TaSe3F PBE relaxed; calculated total energy = -5.098 eV/atom; SG = Pm-3m (221); relative energy among the computed polymorphs = 735.8 meV per atom; formation energy from raw total energies = -25.3 kJ per mole of atoms
1.0
-4.8304 -0.9618 -0.7253
-0.5027 -1.1144 4.8259
-1.0947 4.7557 0.9842
F Se Ta
1 3 1
direct
0.5000 0.5000 0.5000 F
0.0000 0.5000 0.0000 Se
0.0000 0.0000 0.5000 Se
0.5000 0.0000 0.0000 Se
0.0000 0.0000 0.0000 Ta

***

[9]
Ta3SeF PBE relaxed; calculated total energy = -7.775 eV/atom; SG = Pm-3m (221); relative energy among the computed polymorphs = 0.0 meV per atom; formation energy from raw total energies = 39.4 kJ per mole of atoms
1.0
4.3635 0.0000 0.0000
0.0000 4.3635 0.0000
0.0000 0.0000 4.3635
F Se Ta
1 1 3
direct
0.0000 0.0000 0.0000 F
0.5000 0.5000 0.5000 Se
0.0000 0.5000 0.0000 Ta
0.0000 0.0000 0.5000 Ta
0.5000 0.0000 0.0000 Ta

***

[10]
TaSeF2 PBE relaxed; calculated total energy = -6.090 eV/atom; SG = I-42d (122); relative energy among the computed polymorphs = 44.9 meV per atom; formation energy from raw total energies = -127.4 kJ per mole of atoms
1.0
4.0263 0.0000 0.0000
0.0000 4.0263 0.0000
2.0131 2.0131 7.3244
F Se Ta
4 2 2
direct
0.7760 0.1250 0.2500 F
0.9740 0.6250 0.2500 F
0.3750 0.2240 0.7500 F
0.8750 0.0260 0.7500 F
0.5000 0.5000 0.0000 Se
0.2500 0.7500 0.5000 Se
0.0000 0.0000 0.0000 Ta
0.7500 0.2500 0.5000 Ta

***

[11]
TaSeF2 PBE relaxed; calculated total energy = -6.135 eV/atom; SG = R-3m (166); relative energy among the computed polymorphs = 0.0 meV per atom; formation energy from raw total energies = -131.7 kJ per mole of atoms
1.0
1.6282 0.0000 10.4965
-0.8141 1.4101 10.4965
-0.8141 -1.4101 10.4965
F Se Ta
2 1 1
direct
0.8819 0.8819 0.8819 F
0.1181 0.1181 0.1181 F
0.0000 0.0000 0.0000 Se
0.5000 0.5000 0.5000 Ta

***

[12]
TaSe2F5 PBE relaxed; calculated total energy = -5.835 eV/atom; SG = P1 (1); formation energy from raw total energies = -223.2 kJ per mole of atoms
1.0
3.6303 -0.5262 1.8687
1.1081 7.2075 0.5838
-1.0736 -0.2494 6.5549
Ta Se F
1 2 5
direct
0.9476 0.9994 0.0000 Ta
0.7249 0.5028 0.5949 Se
0.3199 0.5010 0.4054 Se
0.7157 0.9977 0.2924 F
0.0489 0.7456 0.9985 F
0.0115 0.2528 0.0015 F
0.0080 0.0023 0.7075 F
0.4465 0.9984 0.9999 F

***

[13]
TaSe3F PBE relaxed; calculated total energy = -5.834 eV/atom; SG = P-1 (2); relative energy among the computed polymorphs = 0.0 meV per atom; formation energy from raw total energies = -96.3 kJ per mole of atoms
1.0
-0.0317 -5.1586 -2.7878
6.4516 -3.6918 4.4497
-3.6979 1.1085 6.0805
Ta Se F
2 6 2
direct
0.2180 0.2766 0.9680 Ta
0.7820 0.7234 0.0320 Ta
0.2729 0.3000 0.6703 Se
0.7748 0.4270 0.9046 Se
0.9763 0.9696 0.1524 Se
0.7271 0.7000 0.3297 Se
0.0237 0.0304 0.8476 Se
0.2252 0.5730 0.0954 Se
0.4537 0.7842 0.7607 F
0.5463 0.2158 0.2393 F

***

[14]
TaTe2SeF PBE relaxed; calculated total energy = -4.866 eV/atom; SG = P4/mmm (123); formation energy from raw total energies = -16.2 kJ per mole of atoms
1.0
-0.5784 2.0371 -4.9282
-4.8849 0.0207 0.5819
0.2617 4.9620 2.0203
F Te Se Ta
1 2 1 1
direct
0.5000 0.5000 0.5000 F
0.0000 0.0000 0.5000 Te
0.5000 0.0000 0.0000 Te
0.0000 0.5000 0.0000 Se
0.0000 0.0000 0.0000 Ta

***

[15]
TaTiSeF2 PBE relaxed; calculated total energy = -5.153 eV/atom; SG = P4/mmm (123); formation energy from raw total energies = 23.4 kJ per mole of atoms
1.0
4.1754 0.0000 0.0000
0.0000 5.2270 0.0000
0.0000 0.0000 4.1754
F Ti Se Ta
2 1 1 1
direct
0.0000 0.0000 0.5000 F
0.5000 0.0000 0.0000 F
0.0000 0.5000 0.0000 Ti
0.0000 0.0000 0.0000 Se
0.5000 0.5000 0.5000 Ta

***

[16]
Tb4Se5F PBE relaxed; calculated total energy = -5.758 eV/atom; SG = C2/m (12); formation energy from raw total energies = -190.7 kJ per mole of atoms
1.0
4.1266 0.0000 0.0000
0.0000 10.9342 -0.2234
-2.0633 -2.1983 7.2839
Tb Se F
4 5 1
direct
0.3488 0.9203 0.6976 Tb
0.9965 0.6741 0.9930 Tb
0.6512 0.0797 0.3024 Tb
0.0035 0.3259 0.0070 Tb
0.8375 0.7384 0.6749 Se
0.8493 0.1113 0.6986 Se
0.1507 0.8887 0.3014 Se
0.5000 0.5000 0.0000 Se
0.1625 0.2616 0.3251 Se
0.5000 0.0000 0.0000 F

***

[17]
Tb2Se2F PBE relaxed; calculated total energy = -5.720 eV/atom; SG = C2/m (12); formation energy from raw total energies = -202.6 kJ per mole of atoms
1.0
4.1724 0.0000 0.0000
0.0000 7.2907 0.0430
-2.0862 -1.0576 9.9773
Tb Se F
4 4 2
direct
0.1617 0.8792 0.3235 Tb
0.8383 0.1208 0.6765 Tb
0.3330 0.6026 0.6661 Tb
0.6670 0.3974 0.3339 Tb
0.1022 0.2024 0.2044 Se
0.8978 0.7976 0.7956 Se
0.4067 0.3037 0.8134 Se
0.5933 0.6963 0.1866 Se
0.2191 0.5812 0.4383 F
0.7809 0.4188 0.5617 F

***

[18]
Tb2SeF3 PBE relaxed; calculated total energy = -6.204 eV/atom; SG = C2/m (12); formation energy from raw total energies = -303.4 kJ per mole of atoms
1.0
-0.5584 -3.9409 -0.0917
6.1368 -2.8734 -0.3135
4.5440 -2.8405 7.9703
Tb Se F
4 2 6
direct
0.8881 0.2979 0.9259 Tb
0.1119 0.7021 0.0741 Tb
0.6316 0.0846 0.6522 Tb
0.3684 0.9154 0.3478 Tb
0.4090 0.4992 0.6828 Se
0.5910 0.5008 0.3172 Se
0.0836 0.0202 0.8126 F
0.9164 0.9798 0.1874 F
0.7125 0.6742 0.9009 F
0.2875 0.3258 0.0991 F
0.8074 0.9215 0.4637 F
0.1926 0.0785 0.5363 F

***

[19]
Tb3Se3F2 PBE relaxed; calculated total energy = -6.024 eV/atom; SG = Cmcm (63); formation energy from raw total energies = -242.5 kJ per mole of atoms
1.0
-0.2658 -3.6324 1.2026
4.1457 3.0235 3.9324
-10.6536 3.5853 8.4749
Tb Se F
6 6 4
direct
0.6255 0.2510 0.4492 Tb
0.3745 0.7490 0.9492 Tb
0.6255 0.2510 0.0508 Tb
0.3745 0.7490 0.5508 Tb
0.3556 0.7111 0.2500 Tb
0.6444 0.2889 0.7500 Tb
0.9493 0.8986 0.3883 Se
0.0507 0.1014 0.8883 Se
0.9493 0.8986 0.1117 Se
0.0507 0.1014 0.6117 Se
0.6823 0.3645 0.2500 Se
0.3177 0.6355 0.7500 Se
0.7657 0.5314 0.9359 F
0.2343 0.4686 0.4359 F
0.7657 0.5314 0.5641 F
0.2343 0.4686 0.0641 F

***

[20]
TcSeF3 PBE relaxed; calculated total energy = -4.686 eV/atom; SG = Pm-3m (221); relative energy among the computed polymorphs = 638.1 meV per atom; formation energy from raw total energies = -76.5 kJ per mole of atoms
1.0
-0.2164 -2.6154 -3.4269
4.1184 0.8884 -0.9381
1.2738 -3.3168 2.4510
Tc Se F
1 1 3
direct
0.0000 0.0000 0.0000 Tc
0.5000 0.5000 0.5000 Se
0.0000 0.5000 0.0000 F
0.0000 0.0000 0.5000 F
0.5000 0.0000 0.0000 F